Density functional theory data (PBE) for a relaxed Rb2BiCl5 crystal.

Calculated values
* magnetic moment: 0.00 μB per formula unit
* space group: No. 62
* ΔE to the lowest computed polymorph: 0.0000 eV/atom
* uncorrected energy: -108.819 eV for the cell shown
* raw formation energy: -1.52 eV per atom
* N(E_F): 0.000 states/eV/atom

Cell and atoms, written as POSCAR:
```
Rb2BiCl5
1.0
13.326 0.000 0.000
0.000 9.023 0.000
0.000 0.000 8.436
Rb Bi Cl
8 4 20
Direct
0.168 0.007 0.071
0.168 0.493 0.071
0.332 0.507 0.571
0.332 0.993 0.571
0.668 0.007 0.429
0.668 0.493 0.429
0.832 0.507 0.929
0.832 0.993 0.929
0.003 0.250 0.562
0.497 0.750 0.062
0.503 0.250 0.938
0.997 0.750 0.438
0.015 0.250 0.900
0.062 0.549 0.667
0.062 0.951 0.667
0.183 0.250 0.397
0.195 0.750 0.358
0.305 0.250 0.858
0.317 0.750 0.897
0.438 0.049 0.167
0.438 0.451 0.167
0.485 0.750 0.400
0.515 0.250 0.600
0.562 0.549 0.833
0.562 0.951 0.833
0.683 0.250 0.103
0.695 0.750 0.142
0.805 0.250 0.642
0.817 0.750 0.603
0.938 0.049 0.333
0.938 0.451 0.333
0.985 0.750 0.100
```